Record 1
Pm2SmTlO | PBE | optimized geometry

Unit cell a=4.9461 b=4.9461 c=4.9105 alpha=90.00 beta=90.00 gamma=90.00
Last column: nearest neighbours and their distance in Å.
Space group P4/mmm (No. 123)
Inequivalent atoms, fractional coordinates:
Pm1 0.0000 0.5000 0.0000 x2  2 O 2.47
Sm1 0.0000 0.0000 0.5000 x1  2 O 2.46
Tl1 0.5000 0.5000 0.5000 x1  8 Pm 3.48, 4 Sm 3.50
O1 0.0000 0.0000 0.0000 x1  2 Sm 2.46, 4 Pm 2.47



Record 2
PmSm12Tl4O3 | PBE | optimized geometry

Unit cell a=10.1654 b=10.1654 c=10.1654 alpha=90.00 beta=90.00 gamma=90.00
Last column: nearest neighbours and their distance in Å.
Space group Im-3m (No. 229)
Inequivalent atoms, fractional coordinates:
Pm1 0.0000 0.0000 0.0000 x2  6 Sm 2.78
Sm1 0.0000 0.0000 0.2733 x12  1 O 2.30
Sm2 0.0000 0.2500 0.5000 x12  2 O 2.54
Tl1 0.2500 0.2500 0.2500 x8  12 Sm 3.59-3.60
O1 0.0000 0.0000 0.5000 x6  6 Sm 2.30-2.54



Record 3
Pm2SmUO8 | PBE | optimized geometry

Unit cell a=3.9357 b=5.4921 c=7.6769 alpha=90.00 beta=90.00 gamma=90.00
Last column: nearest neighbours and their distance in Å.
Space group Pmmm (No. 47)
Inequivalent atoms, fractional coordinates:
Pm1 0.0000 0.0000 0.2479 x2  8 O 2.37-2.45
Sm1 0.5000 0.5000 0.5000 x1  8 O 2.40-2.50
U1 0.5000 0.5000 0.0000 x1  8 O 2.14-2.32
O1 0.0000 0.2494 0.5000 x2  2 Pm 2.37, 2 Sm 2.40
O2 0.0000 0.2763 0.0000 x2  2 U 2.32, 2 Pm 2.43, 1 O 2.46
O3 0.5000 0.2636 0.2223 x4  1 U 2.14



Number 1: E_form (uncorrected) -1.36 eV/atom, total magnetization 0.0 Bohr magnetons per cell. Number 2: E_form (uncorrected) -0.73 eV/atom, total magnetization 1.8 Bohr magnetons per cell. Number 3: E_form (uncorrected) -3.21 eV/atom, total magnetization 0.0 Bohr magnetons per cell.